1.
YReNF2 PBE-GGA optimized geometry; relative energy among the computed polymorphs = 221 meV per atom; crystal system = tetragonal; formation energy from raw total energies = -62 kJ per mole of atoms; size of the total moment = 4.86 μB/f.u.
1.0
4.2314 0.0000 0.0000
0.0000 4.2314 0.0000
0.0000 0.0000 4.8561
Y Re N F
1 1 1 2
Direct
0.0000 0.0000 0.0000
0.5000 0.5000 0.5000
0.0000 0.0000 0.5000
0.0000 0.5000 0.0000
0.5000 0.0000 0.0000


2.
NpInAg2O6 PBE-GGA optimized geometry; crystal system = monoclinic; formation energy from raw total energies = -145 kJ per mole of atoms; size of the total moment = 0.00 μB/f.u.
1.0
5.7075 0.0000 0.0000
0.0000 5.8362 0.0000
-5.6981 0.0000 8.1979
Np In Ag O
2 2 4 12
Direct
0.0000 0.0000 0.0000
0.0000 0.5000 0.5000
0.5000 0.0000 0.5000
0.5000 0.5000 0.0000
0.2435 0.0259 0.7482
0.2435 0.4741 0.2482
0.7565 0.5259 0.7518
0.7565 0.9741 0.2518
0.1440 0.2137 0.4521
0.1440 0.2863 0.9521
0.2375 0.6973 0.4502
0.2375 0.8027 0.9502
0.3354 0.0294 0.2423
0.3354 0.4706 0.7423
0.6646 0.5294 0.2577
0.6646 0.9706 0.7577
0.7625 0.1973 0.0498
0.7625 0.3027 0.5498
0.8560 0.7137 0.0479
0.8560 0.7863 0.5479


3.
Zn3P PBE-GGA optimized geometry; relative energy among the computed polymorphs = 193 meV per atom; crystal system = trigonal; energy relative to the elements = 0.23 eV per atom; size of the total moment = 0.00 μB/f.u.
1.0
7.8982 0.0000 0.0000
-3.9491 6.8401 0.0000
0.0000 0.0000 3.7185
Zn P
9 3
Direct
0.0000 0.5000 0.0000
0.1667 0.3333 0.3333
0.1667 0.8333 0.3333
0.3333 0.1667 0.6667
0.5000 0.0000 0.0000
0.5000 0.5000 0.0000
0.6667 0.8333 0.3333
0.8333 0.1667 0.6667
0.8333 0.6667 0.6667
0.0000 0.0000 0.0000
0.3333 0.6667 0.6667
0.6667 0.3333 0.3333


4.
TaTl2Os PBE-GGA optimized geometry; relative energy among the computed polymorphs = 337 meV per atom; crystal system = orthorhombic; energy relative to the elements = 0.64 eV per atom; size of the total moment = 0.00 μB/f.u.
1.0
3.1351 0.0000 0.0000
0.0000 4.8656 0.0000
0.0000 0.0000 11.6597
Ta Tl Os
2 4 2
Direct
0.0000 0.0000 0.0000
0.5000 0.5000 0.5000
0.0000 0.0000 0.5768
0.0000 0.5000 0.7850
0.5000 0.0000 0.2850
0.5000 0.5000 0.0768
0.0000 0.5000 0.3362
0.5000 0.0000 0.8362


Which formula does entry 3 have?
Zn3P


What is the formula in the second record?
NpInAg2O6